(1)
Entry from Alexandria via LeMat-Bulk: a relaxed structure of Ce2TmMg4 (PBE).

**Raw total energy**: -3.22 eV per atom
**Total magnetic moment**: 0.4 μB/cell
**Formation enthalpy at 0 K**: 0.029 eV/atom

CIF file:
```
data_Ce2TmMg4
_chemical_formula_sum 'Ce2 Tm1 Mg4'
_space_group_name_H-M_alt 'P 1'
_space_group_IT_number 1
_cell_length_a 17.033
_cell_length_b 17.033
_cell_length_c 3.216
_cell_angle_alpha 90.00
_cell_angle_beta 90.00
_cell_angle_gamma 169.16
loop_
_space_group_symop_operation_xyz
'x,y,z'
loop_
_atom_site_label
_atom_site_fract_x
_atom_site_fract_y
_atom_site_fract_z
Ce1 0.214 0.786 0.000
Ce2 0.786 0.214 0.000
Tm1 0.500 0.500 0.500
Mg1 0.072 0.928 0.000
Mg2 0.363 0.637 0.500
Mg3 0.637 0.363 0.500
Mg4 0.928 0.072 0.000
```

(2)
Entry from Alexandria via LeMat-Bulk: a relaxed structure of CeTm5Mg6 (PBE).

**Raw total energy**: -3.19 eV per atom
**Total magnetic moment**: 0.8 μB/cell
**Formation enthalpy at 0 K**: -0.036 eV/atom

CIF file:
```
data_CeTm5Mg6
_chemical_formula_sum 'Ce1 Tm5 Mg6'
_space_group_name_H-M_alt 'P 1'
_space_group_IT_number 1
_cell_length_a 8.410
_cell_length_b 8.410
_cell_length_c 7.508
_cell_angle_alpha 90.00
_cell_angle_beta 90.00
_cell_angle_gamma 143.10
loop_
_space_group_symop_operation_xyz
'x,y,z'
loop_
_atom_site_label
_atom_site_fract_x
_atom_site_fract_y
_atom_site_fract_z
Ce1 0.000 0.000 0.000
Tm1 0.000 0.000 0.500
Tm2 0.333 0.667 0.000
Tm3 0.336 0.664 0.500
Tm4 0.664 0.336 0.500
Tm5 0.667 0.333 0.000
Mg1 0.169 0.831 0.253
Mg2 0.169 0.831 0.747
Mg3 0.500 0.500 0.252
Mg4 0.500 0.500 0.748
Mg5 0.831 0.169 0.253
Mg6 0.831 0.169 0.747
```

(3)
Entry from Alexandria via LeMat-Bulk: a relaxed structure of CeTmMg17 (PBE).

**Raw total energy**: -1.97 eV per atom
**Total magnetic moment**: 1.2 μB/cell
**Formation enthalpy at 0 K**: 0.000 eV/atom

CIF file:
```
data_CeTmMg17
_chemical_formula_sum 'Ce1 Tm1 Mg17'
_space_group_name_H-M_alt 'P 1'
_space_group_IT_number 1
_cell_length_a 7.782
_cell_length_b 7.782
_cell_length_c 7.782
_cell_angle_alpha 82.12
_cell_angle_beta 82.12
_cell_angle_gamma 82.12
loop_
_space_group_symop_operation_xyz
'x,y,z'
loop_
_atom_site_label
_atom_site_fract_x
_atom_site_fract_y
_atom_site_fract_z
Ce1 0.000 0.000 0.000
Tm1 0.341 0.341 0.341
Mg1 0.024 0.024 0.498
Mg2 0.024 0.498 0.024
Mg3 0.164 0.674 0.674
Mg4 0.319 0.319 0.819
Mg5 0.319 0.819 0.319
Mg6 0.365 0.666 0.974
Mg7 0.365 0.974 0.666
Mg8 0.498 0.024 0.024
Mg9 0.568 0.568 0.568
Mg10 0.666 0.365 0.974
Mg11 0.666 0.974 0.365
Mg12 0.674 0.164 0.674
Mg13 0.674 0.674 0.164
Mg14 0.766 0.766 0.766
Mg15 0.819 0.319 0.319
Mg16 0.974 0.365 0.666
Mg17 0.974 0.666 0.365
```

(4)
Entry from Alexandria via LeMat-Bulk: a relaxed structure of CeTm2Mg9 (PBE).

**Raw total energy**: -2.44 eV per atom
**Total magnetic moment**: 1.3 μB/cell
**Formation enthalpy at 0 K**: -0.004 eV/atom

CIF file:
```
data_CeTm2Mg9
_chemical_formula_sum 'Ce1 Tm2 Mg9'
_space_group_name_H-M_alt 'P 1'
_space_group_IT_number 1
_cell_length_a 4.673
_cell_length_b 4.673
_cell_length_c 13.945
_cell_angle_alpha 90.00
_cell_angle_beta 90.00
_cell_angle_gamma 90.00
loop_
_space_group_symop_operation_xyz
'x,y,z'
loop_
_atom_site_label
_atom_site_fract_x
_atom_site_fract_y
_atom_site_fract_z
Ce1 0.000 0.000 0.000
Tm1 0.000 0.000 0.335
Tm2 0.000 0.000 0.665
Mg1 0.000 0.500 0.171
Mg2 0.000 0.500 0.500
Mg3 0.000 0.500 0.829
Mg4 0.500 0.000 0.171
Mg5 0.500 0.000 0.500
Mg6 0.500 0.000 0.829
Mg7 0.500 0.500 0.000
Mg8 0.500 0.500 0.337
Mg9 0.500 0.500 0.663
```

In order of appearance, calculated volume = 25.068, 26.568, 24.165, 25.372 Å³/atom.